(1)
A plane-wave DFT calculation with SCAN was carried out for ZrCo6Re at its PBEsol-relaxed geometry.

Total moment: 0.337 μB per atom
N(E_F): 18.8 states/eV/cell
Total DFT energy (no corrections): -25.6258 eV per atom
Energy of formation from the pure elements: 0.0769 eV/atom
Crystal system: orthorhombic

Lattice parameters (Å, degrees): 6.2112 6.2112 10.1853 90.00 90.00 109.42
Element x y z (fractional)
Zr 0.0000 0.0000 0.2492
Zr 0.0000 0.0000 0.7508
Zr 0.2469 0.7531 0.0000
Zr 0.7531 0.2469 0.0000
Co 0.0000 0.0000 0.0000
Co 0.0000 0.0000 0.5000
Co 0.1302 0.3865 0.3812
Co 0.1302 0.3865 0.6188
Co 0.1372 0.3827 0.1317
Co 0.1372 0.3827 0.8683
Co 0.2562 0.7438 0.2601
Co 0.2562 0.7438 0.7399
Co 0.3827 0.1372 0.1317
Co 0.3827 0.1372 0.8683
Co 0.3865 0.1302 0.3812
Co 0.3865 0.1302 0.6188
Co 0.5000 0.5000 0.0000
Co 0.5000 0.5000 0.5000
Co 0.6135 0.8698 0.3812
Co 0.6135 0.8698 0.6188
Co 0.6173 0.8628 0.1317
Co 0.6173 0.8628 0.8683
Co 0.7438 0.2562 0.2601
Co 0.7438 0.2562 0.7399
Co 0.8628 0.6173 0.1317
Co 0.8628 0.6173 0.8683
Co 0.8698 0.6135 0.3812
Co 0.8698 0.6135 0.6188
Re 0.2441 0.7559 0.5000
Re 0.5000 0.5000 0.2468
Re 0.5000 0.5000 0.7532
Re 0.7559 0.2441 0.5000


(2)
A plane-wave DFT calculation with SCAN was carried out for InHg3 at its PBEsol-relaxed geometry.

Total moment: 0.000 μB per atom
N(E_F): 2.2 states/eV/cell
Total DFT energy (no corrections): -59.4491 eV per atom
Energy of formation from the pure elements: 0.0220 eV/atom
Crystal system: orthorhombic

Lattice parameters (Å, degrees): 6.4729 6.4729 5.0570 90.00 90.00 115.72
Element x y z (fractional)
In 0.1540 0.8460 0.7500
In 0.8460 0.1540 0.2500
Hg 0.1674 0.3493 0.7500
Hg 0.3374 0.6626 0.2500
Hg 0.3493 0.1674 0.2500
Hg 0.6507 0.8326 0.7500
Hg 0.6626 0.3374 0.7500
Hg 0.8326 0.6507 0.2500


(3)
A plane-wave DFT calculation with SCAN was carried out for MnAlTc2 at its PBEsol-relaxed geometry.

Total moment: 0.184 μB per atom
N(E_F): 2.8 states/eV/cell
Total DFT energy (no corrections): -24.2294 eV per atom
Energy of formation from the pure elements: -0.1976 eV/atom
Crystal system: cubic

Lattice parameters (Å, degrees): 4.1898 4.1898 4.1898 60.00 60.00 60.00
Element x y z (fractional)
Mn 0.0000 0.0000 0.0000
Al 0.2500 0.2500 0.2500
Tc 0.5000 0.5000 0.5000
Tc 0.7500 0.7500 0.7500


(4)
A plane-wave DFT calculation with SCAN was carried out for AgBiTe2Mo at its PBEsol-relaxed geometry.

Total moment: 0.347 μB per atom
N(E_F): 4.2 states/eV/cell
Total DFT energy (no corrections): -43.1394 eV per atom
Crystal system: tetragonal

Lattice parameters (Å, degrees): 5.1578 5.1578 5.1575 90.00 90.00 90.00
Element x y z (fractional)
Ag 0.0000 0.0000 0.0000
Bi 0.5000 0.5000 0.0000
Te 0.0000 0.5000 0.5000
Te 0.5000 0.0000 0.5000
Mo 0.0000 0.0000 0.5000


(5)
A plane-wave DFT calculation with SCAN was carried out for BaBr2 at its PBEsol-relaxed geometry.

Total moment: 0.000 μB per atom
N(E_F): 0.0 states/eV/cell
Total DFT energy (no corrections): -28.4496 eV per atom
Crystal system: tetragonal

Lattice parameters (Å, degrees): 5.9728 5.9728 5.9728 138.42 138.42 60.27
Element x y z (fractional)
Ba 0.0000 0.0000 0.0000
Br 0.3417 0.3417 0.0000
Br 0.6583 0.6583 0.0000


(6)
A plane-wave DFT calculation with SCAN was carried out for SrAlSe at its PBEsol-relaxed geometry.

Total moment: 0.278 μB per atom
Distance to the lowest polymorph of the same formula: 1.45 eV per formula unit
N(E_F): 2.4 states/eV/cell
Total DFT energy (no corrections): -16.9666 eV per atom
Crystal system: cubic

Lattice parameters (Å, degrees): 5.0982 5.0982 5.0982 60.00 60.00 60.00
Element x y z (fractional)
Sr 0.0000 0.0000 0.0000
Al 0.2500 0.2500 0.2500
Se 0.7500 0.7500 0.7500